# 1
A relaxed structure of As3HOs. Source: the Alexandria database, functional GGA-PBE. Values from VASP.

Its space-group type is Pm-3m (221). As for the excess energy over the best structure of this formula in the dataset: 185 meV per atom. The total magnetization is 0.00 μB per formula unit.

The structure in Quantum ESPRESSO input format:
```
&SYSTEM
  ibrav = 0, nat = 5, ntyp = 3
/
ATOMIC_SPECIES
As 74.92 As.upf
H 1.01 H.upf
Os 190.23 Os.upf
CELL_PARAMETERS angstrom
4.8050 0.0000 0.0000
0.0000 4.8050 0.0000
0.0000 0.0000 4.8050
ATOMIC_POSITIONS angstrom
As 0.0000 0.0000 2.4025
As 0.0000 2.4025 0.0000
As 2.4025 0.0000 0.0000
H 2.4025 2.4025 2.4025
Os 0.0000 0.0000 0.0000
```

# 2
A relaxed structure of AsHOs3. Source: the Alexandria database, functional GGA-PBE. Values from VASP.

Its space-group type is Pm-3m (221). As for the excess energy over the best structure of this formula in the dataset: 0 meV per atom. The total magnetization is 0.87 μB per formula unit.

The structure in Quantum ESPRESSO input format:
```
&SYSTEM
  ibrav = 0, nat = 5, ntyp = 3
/
ATOMIC_SPECIES
As 74.92 As.upf
H 1.01 H.upf
Os 190.23 Os.upf
CELL_PARAMETERS angstrom
3.9477 0.0000 0.0000
0.0000 3.9477 0.0000
0.0000 0.0000 3.9477
ATOMIC_POSITIONS angstrom
As 0.0000 0.0000 0.0000
H 1.9738 1.9738 1.9738
Os 0.0000 1.9738 1.9738
Os 1.9738 0.0000 1.9738
Os 1.9738 1.9738 0.0000
```

# 3
A relaxed structure of AsHOs. Source: the Alexandria database, functional GGA-PBE. Values from VASP.

Its space-group type is Cm (8). As for the excess energy over the best structure of this formula in the dataset: 55 meV per atom. The total magnetization is 0.00 μB per formula unit.

The structure in Quantum ESPRESSO input format:
```
&SYSTEM
  ibrav = 0, nat = 3, ntyp = 3
/
ATOMIC_SPECIES
As 74.92 As.upf
H 1.01 H.upf
Os 190.23 Os.upf
CELL_PARAMETERS angstrom
2.5635 -1.7720 0.0000
2.5635 1.7720 0.0000
-1.8852 0.0000 4.0931
ATOMIC_POSITIONS angstrom
As 0.0000 0.0000 0.0000
H 1.7609 0.0000 2.0588
Os -0.0419 0.0000 2.4948
```

# 4
A relaxed structure of AsHOsSe2. Source: the Alexandria database, functional GGA-PBE. Values from VASP.

Its space-group type is P4/mmm (123). As for the excess energy over the best structure of this formula in the dataset: 100 meV per atom. The total magnetization is 0.21 μB per formula unit.

The structure in Quantum ESPRESSO input format:
```
&SYSTEM
  ibrav = 0, nat = 5, ntyp = 4
/
ATOMIC_SPECIES
As 74.92 As.upf
H 1.01 H.upf
Os 190.23 Os.upf
Se 78.96 Se.upf
CELL_PARAMETERS angstrom
5.0068 0.0000 0.0000
0.0000 5.0068 0.0000
0.0000 0.0000 4.7268
ATOMIC_POSITIONS angstrom
As 0.0000 0.0000 0.0000
H 2.5034 2.5034 0.0000
Os 0.0000 0.0000 2.3634
Se 0.0000 2.5034 2.3634
Se 2.5034 0.0000 2.3634
```

# 5
A relaxed structure of As2HOsSe. Source: the Alexandria database, functional GGA-PBE. Values from VASP.

Its space-group type is P4/mmm (123). As for the excess energy over the best structure of this formula in the dataset: 89 meV per atom. The total magnetization is 0.10 μB per formula unit.

The structure in Quantum ESPRESSO input format:
```
&SYSTEM
  ibrav = 0, nat = 5, ntyp = 4
/
ATOMIC_SPECIES
As 74.92 As.upf
H 1.01 H.upf
Os 190.23 Os.upf
Se 78.96 Se.upf
CELL_PARAMETERS angstrom
4.7108 0.0000 0.0000
0.0000 4.7108 0.0000
0.0000 0.0000 5.2998
ATOMIC_POSITIONS angstrom
As 0.0000 2.3554 0.0000
As 2.3554 0.0000 0.0000
H 0.0000 0.0000 2.6499
Os 2.3554 2.3554 0.0000
Se 2.3554 2.3554 2.6499
```

# 6
A relaxed structure of As2HOsSe. Source: the Alexandria database, functional GGA-PBE. Values from VASP.

Its space-group type is P4/mmm (123). As for the excess energy over the best structure of this formula in the dataset: 0 meV per atom. The total magnetization is 0.00 μB per formula unit.

The structure in Quantum ESPRESSO input format:
```
&SYSTEM
  ibrav = 0, nat = 5, ntyp = 4
/
ATOMIC_SPECIES
As 74.92 As.upf
H 1.01 H.upf
Os 190.23 Os.upf
Se 78.96 Se.upf
CELL_PARAMETERS angstrom
3.9212 0.0000 0.0000
0.0000 3.9212 0.0000
0.0000 0.0000 4.7405
ATOMIC_POSITIONS angstrom
As 0.0000 1.9606 0.0000
As 1.9606 0.0000 0.0000
H 0.0000 0.0000 0.0000
Os 1.9606 1.9606 2.3702
Se 0.0000 0.0000 2.3702
```

| no. | raw total energy (eV/f.u.) | DOS(E_F) (states/eV/f.u.) | calculated density (g cm⁻³) |
| --- | --- | --- | --- |
| 1 | -23.12 | 3.8 | 6.227 |
| 2 | -38.02 | 5.8 | 17.453 |
| 3 | -18.60 | 0.6 | 11.885 |
| 4 | -20.90 | 6.5 | 5.943 |
| 5 | -22.06 | 4.1 | 5.930 |
| 6 | -22.50 | 4.5 | 9.569 |